Entry 1:
Computed, not measured: a relaxed structure of HfTh2Sc at the PBE level of DFT.

Cell: 3.749 3.749 7.858 Å, 90.00 90.00 90.00°
Element x y z (fractional)
Th  0.000  0.000  0.743
Th  0.000  0.000  0.257
Sc  0.500  0.500  0.000
Hf  0.500  0.500  0.500

**Crystal system**: tetragonal
**Magnetization**: 0.00 μB/cell
**Volume**: 27.6 Å³/atom
**DOS(E_F)**: 4.633 states/eV/f.u.
**Energy above the lowest structure with this stoichiometry**: 15.3 meV/atom
**ΔH_f (0 K)**: 116 meV per atom

=====

Entry 2:
Computed, not measured: a relaxed structure of HfThSc2 at the PBE level of DFT.

Cell: 5.226 5.226 5.226 Å, 60.00 60.00 60.00°
Element x y z (fractional)
Hf  0.500  0.500  0.500
Sc  0.250  0.250  0.250
Sc  0.750  0.750  0.750
Th  0.000  0.000  0.000

**Crystal system**: cubic
**Magnetization**: 0.00 μB/cell
**Volume**: 25.2 Å³/atom
**DOS(E_F)**: 5.212 states/eV/f.u.
**Energy above the lowest structure with this stoichiometry**: 85.5 meV/atom
**ΔH_f (0 K)**: 132 meV per atom

=====

Entry 3:
Computed, not measured: a relaxed structure of HfThSc3 at the PBE level of DFT.

Cell: 5.040 6.659 7.854 Å, 90.00 90.01 90.00°
Element x y z (fractional)
Sc  0.250  0.033  0.284
Sc  0.750  0.967  0.716
Sc  0.250  0.467  0.284
Sc  0.250  0.250  0.681
Sc  0.750  0.533  0.716
Sc  0.750  0.750  0.319
Hf  0.250  0.750  0.573
Hf  0.750  0.250  0.427
Th  0.750  0.250  0.040
Th  0.250  0.750  0.960

**Crystal system**: orthorhombic
**Magnetization**: 0.00 μB/cell
**Volume**: 26.4 Å³/atom
**DOS(E_F)**: 7.302 states/eV/f.u.
**Energy above the lowest structure with this stoichiometry**: 18.6 meV/atom
**ΔH_f (0 K)**: 195 meV per atom

=====

Entry 4:
Computed, not measured: a relaxed structure of HfTh2Sc8 at the PBE level of DFT.

Cell: 5.434 8.200 8.542 Å, 61.32 75.67 58.95°
Element x y z (fractional)
Th  0.000  0.695  0.610
Th  0.000  0.305  0.390
Sc  0.825  0.103  0.218
Sc  0.500  0.798  0.404
Sc  0.825  0.320  0.782
Sc  0.296  0.414  0.000
Sc  0.500  0.202  0.596
Sc  0.175  0.680  0.218
Sc  0.704  0.586  0.000
Sc  0.175  0.897  0.782
Hf  0.500  0.000  0.000

**Crystal system**: monoclinic
**Magnetization**: 0.00 μB/cell
**Volume**: 26.0 Å³/atom
**DOS(E_F)**: 18.049 states/eV/f.u.
**ΔH_f (0 K)**: 242 meV per atom

=====

Entry 5:
Computed, not measured: a relaxed structure of HfTh6Sc8 at the PBE level of DFT.

Cell: 9.139 9.139 7.807 Å, 54.17 54.17 60.00°
Element x y z (fractional)
Sc  0.124  0.955  0.290
Sc  0.772  0.772  0.683
Sc  0.045  0.369  0.710
Sc  0.876  0.045  0.710
Sc  0.955  0.631  0.290
Sc  0.228  0.228  0.317
Sc  0.369  0.876  0.710
Sc  0.631  0.124  0.290
Th  0.618  0.434  0.772
Th  0.382  0.566  0.228
Th  0.566  0.823  0.228
Th  0.823  0.382  0.228
Th  0.434  0.177  0.772
Th  0.177  0.618  0.772
Hf  0.000  0.000  0.000

**Crystal system**: trigonal
**Magnetization**: 1.18 μB/cell
**Volume**: 27.7 Å³/atom
**DOS(E_F)**: 24.086 states/eV/f.u.
**ΔH_f (0 K)**: 184 meV per atom

=====

Entry 6:
Computed, not measured: a relaxed structure of HfThSc2 at the PBE level of DFT.

Cell: 3.339 3.339 10.775 Å, 81.09 81.09 60.00°
Element x y z (fractional)
Sc  0.089  0.089  0.734
Sc  0.245  0.245  0.265
Hf  0.501  0.501  0.498
Th  0.666  0.666  0.002

**Crystal system**: trigonal
**Magnetization**: 0.00 μB/cell
**Volume**: 25.6 Å³/atom
**DOS(E_F)**: 5.278 states/eV/f.u.
**Energy above the lowest structure with this stoichiometry**: 9.7 meV/atom
**ΔH_f (0 K)**: 56 meV per atom

=====

Entry 7:
Computed, not measured: a relaxed structure of HfThSc14 at the PBE level of DFT.

Cell: 6.553 6.553 9.177 Å, 90.00 90.00 89.92°
Element x y z (fractional)
Sc  0.875  0.625  0.000
Sc  0.375  0.125  0.000
Sc  0.129  0.871  0.753
Sc  0.129  0.379  0.753
Sc  0.621  0.871  0.247
Sc  0.621  0.379  0.247
Sc  0.375  0.125  0.500
Sc  0.621  0.871  0.753
Sc  0.875  0.625  0.500
Sc  0.129  0.379  0.247
Sc  0.875  0.125  0.500
Sc  0.621  0.379  0.753
Sc  0.375  0.625  0.500
Sc  0.129  0.871  0.247
Hf  0.375  0.625  0.000
Th  0.875  0.125  0.000

**Crystal system**: orthorhombic
**Magnetization**: 0.00 μB/cell
**Volume**: 24.6 Å³/atom
**DOS(E_F)**: 29.851 states/eV/f.u.
**ΔH_f (0 K)**: 49 meV per atom

=====

Entry 8:
Computed, not measured: a relaxed structure of HfTh2Sc at the PBE level of DFT.

Cell: 4.671 4.873 4.873 Å, 90.00 90.00 90.00°
Element x y z (fractional)
Th  0.000  0.000  0.500
Th  0.000  0.500  0.000
Sc  0.500  0.000  0.000
Hf  0.500  0.500  0.500

**Crystal system**: tetragonal
**Magnetization**: 0.00 μB/cell
**Volume**: 27.7 Å³/atom
**DOS(E_F)**: 5.079 states/eV/f.u.
**Energy above the lowest structure with this stoichiometry**: 0.0 meV/atom
**ΔH_f (0 K)**: 101 meV per atom